Entry 1:
Below is crystalline CoCuSb2 at its relaxed geometry, with properties calculated at the PBE level.

a = 7.5814 Å, b = 3.3153 Å, c = 6.0709 Å
α = 90.00°, β = 103.88°, γ = 90.00°
With the nearest neighbours (Å) after each atom.
Space group C2/m (No. 12)
Inequivalent atoms, fractional coordinates:
1 Co 0.0000 0.0000 0.0000 [2 per cell]  6 Sb 2.61-2.68
2 Cu 0.0000 0.5000 0.5000 [2 per cell]  6 Sb 2.73-2.79
3 Sb 0.2399 0.5000 0.2299 [4 per cell]  3 Co 2.61-2.68, 3 Cu 2.73-2.79

Calculated values
raw formation energy	17.9	kJ per mole of atoms
crystal system	monoclinic


Entry 2:
Below is crystalline Dy2Si4W3 at its relaxed geometry, with properties calculated at the PBE level.

a = 6.8380 Å, b = 6.9151 Å, c = 6.7718 Å
α = 90.00°, β = 108.96°, γ = 90.00°
With the nearest neighbours (Å) after each atom.
Space group P2_1/c (No. 14)
Inequivalent atoms, fractional coordinates:
1 Dy 0.1896 0.1697 0.0612 [4 per cell]  7 Si 2.80-3.02
2 Si 0.0895 0.5453 0.8655 [4 per cell]  4 W 2.57-2.67, 1 Si 2.58, 1 Dy 2.80
3 Si 0.4960 0.6319 0.6271 [4 per cell]  1 Si 2.52, 5 W 2.54-2.69
4 W 0.2510 0.6599 0.2476 [4 per cell]  6 Si 2.54-2.62
5 W 0.5000 0.0000 0.5000 [2 per cell]  6 Si 2.67-2.69, 2 W 2.96

Calculated values
raw formation energy	-52.5	kJ per mole of atoms
crystal system	monoclinic


Entry 3:
Below is crystalline Tm7PbS5 at its relaxed geometry, with properties calculated at the PBE level.

a = 3.8873 Å, b = 12.8040 Å, c = 23.1047 Å
α = 90.00°, β = 90.00°, γ = 90.00°
With the nearest neighbours (Å) after each atom.
Space group Cmcm (No. 63)
Inequivalent atoms, fractional coordinates:
1 Tm 0.0000 0.0112 0.2500 [4 per cell]  2 S 2.67
2 Tm 0.0000 0.1371 0.5356 [8 per cell]  6 S 2.66-2.75
3 Tm 0.0000 0.3264 0.1719 [8 per cell]  3 S 2.68
4 Tm 0.0000 0.4050 0.6112 [8 per cell]  5 S 2.70-2.84
5 Pb 0.0000 0.3033 0.7500 [4 per cell]  6 Tm 3.07-3.13
6 S 0.0000 0.0428 0.6382 [8 per cell]  6 Tm 2.66-2.70
7 S 0.0000 0.2264 0.0699 [8 per cell]  6 Tm 2.68-2.74
8 S 0.0000 0.5000 0.0000 [4 per cell]  6 Tm 2.75-2.84

Calculated values
raw formation energy	-152.4	kJ per mole of atoms
crystal system	orthorhombic


Entry 4:
Below is crystalline LiYSnBi at its relaxed geometry, with properties calculated at the PBE level.

a = 7.5018 Å, b = 7.5018 Å, c = 7.5018 Å
α = 90.00°, β = 90.00°, γ = 90.00°
With the nearest neighbours (Å) after each atom.
Space group F-43m (No. 216)
Inequivalent atoms, fractional coordinates:
1 Li 0.0000 0.0000 0.0000 [4 per cell]  4 Bi 3.25, 4 Sn 3.25
2 Y 0.0000 0.0000 0.5000 [4 per cell]  4 Sn 3.25, 4 Bi 3.25
3 Sn 0.2500 0.2500 0.7500 [4 per cell]  4 Li 3.25, 4 Y 3.25
4 Bi 0.2500 0.2500 0.2500 [4 per cell]  4 Li 3.25, 4 Y 3.25

Calculated values
crystal system	cubic
formation energy	-1.62	eV/f.u.


Total moment list, top to bottom, in μB per cell: 0.8 0.0 0.0 0.0